{"formula": "GaAgGe", "functional": "PBE", "state": "relaxed", "cell": [[2.184, -2.181, 0.000], [2.184, 2.181, 0.000], [0.000, 0.000, 11.621]], "species": ["Ga", "Ga", "Ag", "Ag", "Ge", "Ge"], "fractional_positions": [[0.000, 0.000, 0.000], [0.000, 0.000, 0.337], [0.000, 0.000, 0.669], [0.500, 0.500, 0.840], [0.499, 0.499, 0.162], [0.500, 0.500, 0.507]], "n_ef_per_ev_cell": 1.798, "formation_enthalpy_0k_mev_per_atom": 124}

=====

{"formula": "GaAgGe", "functional": "PBE", "state": "relaxed", "cell": [[4.776, 0.000, 0.000], [-2.388, 4.136, 0.000], [0.000, 0.000, 5.675]], "species": ["Ga", "Ga", "Ag", "Ag", "Ge", "Ge"], "fractional_positions": [[0.333, 0.667, 0.250], [0.667, 0.333, 0.750], [0.000, 0.000, 0.000], [0.000, 0.000, 0.500], [0.333, 0.667, 0.750], [0.667, 0.333, 0.250]], "n_ef_per_ev_cell": 2.581, "formation_enthalpy_0k_mev_per_atom": 178}

=====

{"formula": "Ga2AgGe", "functional": "PBE", "state": "relaxed", "cell": [[4.311, 0.000, 0.000], [0.000, 4.311, 0.000], [0.000, 0.000, 4.004]], "species": ["Ga", "Ga", "Ag", "Ge"], "fractional_positions": [[0.000, 0.500, 0.000], [0.500, 0.000, 0.000], [0.000, 0.000, 0.500], [0.500, 0.500, 0.500]], "n_ef_per_ev_cell": 0.750, "formation_enthalpy_0k_mev_per_atom": 117}

=====

{"formula": "Ga12Ag3Ge5", "functional": "PBE", "state": "relaxed", "cell": [[-7.545, 7.545, 7.545], [7.545, -7.545, 7.545], [7.545, 7.545, -7.545]], "species": ["Ga", "Ga", "Ga", "Ga", "Ga", "Ga", "Ga", "Ga", "Ga", "Ga", "Ga", "Ga", "Ga", "Ga", "Ga", "Ga", "Ga", "Ga", "Ga", "Ga", "Ga", "Ga", "Ga", "Ga", "Ga", "Ga", "Ga", "Ga", "Ga", "Ga", "Ga", "Ga", "Ga", "Ga", "Ga", "Ga", "Ga", "Ga", "Ga", "Ga", "Ga", "Ga", "Ga", "Ga", "Ga", "Ga", "Ga", "Ga", "Ag", "Ag", "Ag", "Ag", "Ag", "Ag", "Ag", "Ag", "Ag", "Ag", "Ag", "Ag", "Ge", "Ge", "Ge", "Ge", "Ge", "Ge", "Ge", "Ge", "Ge", "Ge", "Ge", "Ge", "Ge", "Ge", "Ge", "Ge", "Ge", "Ge", "Ge", "Ge"], "fractional_positions": [[0.059, 0.231, 0.128], [0.059, 0.328, 0.931], [0.069, 0.628, 0.397], [0.069, 0.941, 0.672], [0.103, 0.731, 0.672], [0.103, 0.872, 0.431], [0.128, 0.059, 0.231], [0.128, 0.569, 0.897], [0.172, 0.231, 0.603], [0.172, 0.441, 0.569], [0.231, 0.128, 0.059], [0.231, 0.603, 0.172], [0.269, 0.328, 0.897], [0.269, 0.441, 0.372], [0.328, 0.897, 0.269], [0.328, 0.931, 0.059], [0.372, 0.269, 0.441], [0.372, 0.603, 0.931], [0.397, 0.069, 0.628], [0.397, 0.828, 0.769], [0.431, 0.103, 0.872], [0.431, 0.828, 0.559], [0.441, 0.372, 0.269], [0.441, 0.569, 0.172], [0.559, 0.431, 0.828], [0.559, 0.628, 0.731], [0.569, 0.172, 0.441], [0.569, 0.897, 0.128], [0.603, 0.172, 0.231], [0.603, 0.931, 0.372], [0.628, 0.397, 0.069], [0.628, 0.731, 0.559], [0.672, 0.069, 0.941], [0.672, 0.103, 0.731], [0.731, 0.559, 0.628], [0.731, 0.672, 0.103], [0.769, 0.397, 0.828], [0.769, 0.872, 0.941], [0.828, 0.559, 0.431], [0.828, 0.769, 0.397], [0.872, 0.431, 0.103], [0.872, 0.941, 0.769], [0.897, 0.128, 0.569], [0.897, 0.269, 0.328], [0.931, 0.059, 0.328], [0.931, 0.372, 0.603], [0.941, 0.672, 0.069], [0.941, 0.769, 0.872], [0.125, 0.250, 0.375], [0.125, 0.375, 0.750], [0.250, 0.375, 0.125], [0.250, 0.875, 0.625], [0.375, 0.125, 0.250], [0.375, 0.750, 0.125], [0.625, 0.250, 0.875], [0.625, 0.875, 0.750], [0.750, 0.125, 0.375], [0.750, 0.625, 0.875], [0.875, 0.625, 0.250], [0.875, 0.750, 0.625], [0.000, 0.000, 0.000], [0.000, 0.000, 0.500], [0.000, 0.500, 0.000], [0.000, 0.500, 0.500], [0.125, 0.750, 0.875], [0.125, 0.875, 0.250], [0.250, 0.125, 0.875], [0.250, 0.625, 0.375], [0.375, 0.250, 0.625], [0.375, 0.625, 0.750], [0.500, 0.000, 0.000], [0.500, 0.000, 0.500], [0.500, 0.500, 0.000], [0.500, 0.500, 0.500], [0.625, 0.375, 0.250], [0.625, 0.750, 0.375], [0.750, 0.375, 0.625], [0.750, 0.875, 0.125], [0.875, 0.125, 0.750], [0.875, 0.250, 0.125]], "n_ef_per_ev_cell": 41.980, "formation_enthalpy_0k_mev_per_atom": 99}

=====

{"formula": "GaAgGe", "functional": "PBE", "state": "relaxed", "cell": [[4.415, 0.000, 0.000], [-2.207, 3.823, 0.000], [0.000, 0.000, 9.833]], "species": ["Ga", "Ga", "Ag", "Ag", "Ge", "Ge"], "fractional_positions": [[0.000, 0.000, 0.250], [0.000, 0.000, 0.750], [0.333, 0.667, 0.250], [0.667, 0.333, 0.750], [0.000, 0.000, 0.000], [0.000, 0.000, 0.500]], "n_ef_per_ev_cell": 3.612, "formation_enthalpy_0k_mev_per_atom": 694}

=====

{"formula": "GaAgGe3", "functional": "PBE", "state": "relaxed", "cell": [[4.933, 0.000, 0.000], [0.000, 4.933, 0.000], [0.000, 0.000, 4.933]], "species": ["Ga", "Ag", "Ge", "Ge", "Ge"], "fractional_positions": [[0.000, 0.000, 0.000], [0.500, 0.500, 0.500], [0.000, 0.000, 0.500], [0.000, 0.500, 0.000], [0.500, 0.000, 0.000]], "de_polymorph_kj_per_mol_fu": 0, "n_ef_per_ev_cell": 2.216, "formation_enthalpy_0k_mev_per_atom": 696}

=====

{"formula": "GaAgGe", "functional": "PBE", "state": "relaxed", "cell": [[5.027, 0.000, 0.000], [2.422, 4.430, 0.000], [0.734, 1.470, 4.965]], "species": ["Ga", "Ga", "Ag", "Ag", "Ge", "Ge"], "fractional_positions": [[0.000, 0.000, 0.000], [0.340, 0.829, 0.502], [0.011, 0.495, 0.502], [0.677, 0.157, 0.505], [0.338, 0.328, 0.003], [0.669, 0.662, 0.008]], "n_ef_per_ev_cell": 2.299, "formation_enthalpy_0k_mev_per_atom": 158}

=====

{"formula": "GaAgGe", "functional": "PBE", "state": "relaxed", "cell": [[4.469, 0.000, 0.000], [0.000, 5.905, 0.000], [0.000, 0.000, 4.624]], "species": ["Ga", "Ga", "Ag", "Ag", "Ge", "Ge"], "fractional_positions": [[0.000, 0.247, 0.000], [0.000, 0.753, 0.000], [0.000, 0.000, 0.480], [0.500, 0.500, 0.159], [0.500, 0.250, 0.641], [0.500, 0.750, 0.641]], "n_ef_per_ev_cell": 2.355, "formation_enthalpy_0k_mev_per_atom": 175}

=====

What is the formula in the eighth record? GaAgGe